No. 1
Here is a geometry-optimized PuTc2Ni structure from Alexandria via LeMat-Bulk. Energies are from PBE.

Lattice parameters (Å, degrees): 4.149 4.149 3.572 90.00 90.00 90.00
Fractional coordinates of all 4 atoms:
1 Pu 0.000 0.000 0.000
2 Tc 0.000 0.500 0.500
3 Tc 0.500 0.000 0.500
4 Ni 0.500 0.500 0.000

Space group: P4/mmm, No. 123
D(E_F): 1.551 states/eV per atom
Total DFT energy (no corrections): -10.142 eV/atom

=====

No. 2
Here is a geometry-optimized Pu2TcNi structure from Alexandria via LeMat-Bulk. Energies are from PBE.

Lattice parameters (Å, degrees): 2.509 2.509 9.839 90.00 90.00 90.00
Fractional coordinates of all 4 atoms:
1 Pu 0.000 0.000 0.233
2 Pu 0.000 0.000 0.767
3 Tc 0.500 0.500 0.500
4 Ni 0.500 0.500 0.000

Space group: P4/mmm, No. 123
D(E_F): 2.174 states/eV per atom
Total DFT energy (no corrections): -10.782 eV/atom

=====

No. 3
Here is a geometry-optimized Pu2TcNi structure from Alexandria via LeMat-Bulk. Energies are from PBE.

Lattice parameters (Å, degrees): 4.872 4.872 3.185 90.00 90.00 90.00
Fractional coordinates of all 4 atoms:
1 Pu 0.000 0.500 0.000
2 Pu 0.500 0.000 0.000
3 Tc 0.000 0.000 0.500
4 Ni 0.500 0.500 0.500

Space group: P4/mmm, No. 123
D(E_F): 2.643 states/eV per atom
Total DFT energy (no corrections): -11.188 eV/atom

=====

No. 4
Here is a geometry-optimized PuThTcNi structure from Alexandria via LeMat-Bulk. Energies are from PBE.

Lattice parameters (Å, degrees): 4.881 4.881 4.881 60.00 60.00 60.00
Fractional coordinates of all 4 atoms:
1 Pu 0.000 0.000 0.000
2 Th 0.500 0.500 0.500
3 Tc 0.250 0.250 0.250
4 Ni 0.750 0.750 0.750

Space group: F-43m, No. 216
D(E_F): 2.258 states/eV per atom
Total DFT energy (no corrections): -9.520 eV/atom

=====

No. 5
Here is a geometry-optimized PuTiTcNi structure from Alexandria via LeMat-Bulk. Energies are from PBE.

Lattice parameters (Å, degrees): 4.537 4.537 4.537 60.00 60.00 60.00
Fractional coordinates of all 4 atoms:
1 Pu 0.000 0.000 0.000
2 Ti 0.500 0.500 0.500
3 Tc 0.750 0.750 0.750
4 Ni 0.250 0.250 0.250

Space group: F-43m, No. 216
D(E_F): 1.441 states/eV per atom
Total DFT energy (no corrections): -9.725 eV/atom

=====

No. 6
Here is a geometry-optimized TmPuTcNi structure from Alexandria via LeMat-Bulk. Energies are from PBE.

Lattice parameters (Å, degrees): 4.741 4.741 4.741 60.00 60.00 60.00
Fractional coordinates of all 4 atoms:
1 Tm 0.000 0.000 0.000
2 Pu 0.500 0.500 0.500
3 Tc 0.250 0.250 0.250
4 Ni 0.750 0.750 0.750

Space group: F-43m, No. 216
D(E_F): 1.815 states/eV per atom
Total DFT energy (no corrections): -8.827 eV/atom

=====

No. 7
Here is a geometry-optimized PuUTcNi structure from Alexandria via LeMat-Bulk. Energies are from PBE.

Lattice parameters (Å, degrees): 4.528 4.528 4.528 60.00 60.00 60.00
Fractional coordinates of all 4 atoms:
1 Pu 0.000 0.000 0.000
2 U 0.250 0.250 0.250
3 Tc 0.500 0.500 0.500
4 Ni 0.750 0.750 0.750

Energy above the lowest structure with this stoichiometry: 0 meV per atom
Space group: F-43m, No. 216
D(E_F): 1.854 states/eV per atom

=====

No. 8
Here is a geometry-optimized PuUTcNi structure from Alexandria via LeMat-Bulk. Energies are from PBE.

Lattice parameters (Å, degrees): 4.730 4.730 4.730 60.00 60.00 60.00
Fractional coordinates of all 4 atoms:
1 Pu 0.000 0.000 0.000
2 U 0.500 0.500 0.500
3 Tc 0.250 0.250 0.250
4 Ni 0.750 0.750 0.750

Energy above the lowest structure with this stoichiometry: 221 meV per atom
Space group: F-43m, No. 216
D(E_F): 2.792 states/eV per atom

=====

- D(E_F) of number 3 (Pu2TcNi)?
  2.643 states/eV per atom